# TiHg2I (GGA-PBE, relaxed)
data_TiHg2I
_chemical_formula_sum 'Ti4 Hg8 I4'
_space_group_name_H-M_alt 'I -4 2 d'
_space_group_IT_number 122
_space_group_name_Hall 'I -4 2bw'
_cell_length_a 9.417
_cell_length_b 9.417
_cell_length_c 5.529
_cell_angle_alpha 90.00
_cell_angle_beta 90.00
_cell_angle_gamma 90.00
loop_
_atom_site_label
_atom_site_type_symbol
_atom_site_fract_x
_atom_site_fract_y
_atom_site_fract_z
Ti1 Ti 0.000 0.000 0.000
Hg1 Hg 0.168 0.250 0.125
I1 I 0.000 0.000 0.500
# Raw formation energy in meV/atom: 173.0
# Relative energy among the computed polymorphs in eV per atom: 0.0000

=====

# SrLiErPd (GGA-PBE, relaxed)
data_SrLiErPd
_chemical_formula_sum 'Sr4 Li4 Er4 Pd4'
_space_group_name_H-M_alt 'F -4 3 m'
_space_group_IT_number 216
_space_group_name_Hall 'F -4 2 3'
_cell_length_a 7.347
_cell_length_b 7.347
_cell_length_c 7.347
_cell_angle_alpha 90.00
_cell_angle_beta 90.00
_cell_angle_gamma 90.00
loop_
_atom_site_label
_atom_site_type_symbol
_atom_site_fract_x
_atom_site_fract_y
_atom_site_fract_z
Sr1 Sr 0.000 0.000 0.000
Li1 Li 0.250 0.250 0.750
Er1 Er 0.000 0.000 0.500
Pd1 Pd 0.250 0.250 0.250
# Formation enthalpy at 0 K in eV per atom: -0.245

=====

# NaMgBe (GGA-PBE, relaxed)
data_NaMgBe
_chemical_formula_sum 'Na2 Mg2 Be2'
_space_group_name_H-M_alt 'P 1 21/m 1'
_space_group_IT_number 11
_space_group_name_Hall '-P 2yb'
_cell_length_a 3.410
_cell_length_b 3.731
_cell_length_c 10.518
_cell_angle_alpha 90.00
_cell_angle_beta 99.45
_cell_angle_gamma 90.00
loop_
_atom_site_label
_atom_site_type_symbol
_atom_site_fract_x
_atom_site_fract_y
_atom_site_fract_z
Na1 Na 0.182 0.250 0.366
Mg1 Mg 0.432 0.250 0.865
Be1 Be 0.027 0.250 0.054
# Formation enthalpy at 0 K in eV per atom: 0.265
# Relative energy among the computed polymorphs in eV per atom: 0.0315

=====

# Mg5TlHg (GGA-PBE, relaxed)
data_Mg5TlHg
_chemical_formula_sum 'Mg20 Tl4 Hg4'
_space_group_name_H-M_alt 'C 1 2/c 1'
_space_group_IT_number 15
_space_group_name_Hall '-C 2yc'
_cell_length_a 10.368
_cell_length_b 11.265
_cell_length_c 6.263
_cell_angle_alpha 90.00
_cell_angle_beta 112.64
_cell_angle_gamma 90.00
loop_
_atom_site_label
_atom_site_type_symbol
_atom_site_fract_x
_atom_site_fract_y
_atom_site_fract_z
Mg1 Mg 0.000 0.120 0.250
Mg2 Mg 0.016 0.363 0.015
Mg3 Mg 0.248 0.485 0.873
Tl1 Tl 0.000 0.142 0.750
Hg1 Hg 0.250 0.250 0.500
# Formation enthalpy at 0 K in eV per atom: -0.029
# Relative energy among the computed polymorphs in eV per atom: 0.0319

=====

Copy entry 4 word for word.
# Mg5TlHg (GGA-PBE, relaxed)
data_Mg5TlHg
_chemical_formula_sum 'Mg20 Tl4 Hg4'
_space_group_name_H-M_alt 'C 1 2/c 1'
_space_group_IT_number 15
_space_group_name_Hall '-C 2yc'
_cell_length_a 10.368
_cell_length_b 11.265
_cell_length_c 6.263
_cell_angle_alpha 90.00
_cell_angle_beta 112.64
_cell_angle_gamma 90.00
loop_
_atom_site_label
_atom_site_type_symbol
_atom_site_fract_x
_atom_site_fract_y
_atom_site_fract_z
Mg1 Mg 0.000 0.120 0.250
Mg2 Mg 0.016 0.363 0.015
Mg3 Mg 0.248 0.485 0.873
Tl1 Tl 0.000 0.142 0.750
Hg1 Hg 0.250 0.250 0.500
# Formation enthalpy at 0 K in eV per atom: -0.029
# Relative energy among the computed polymorphs in eV per atom: 0.0319

=====

What is the formula in the fourth record?
Mg5TlHg